Record 1
# RbAg2HgBr6

A relaxed structure of RbAg2HgBr6 (PBE, Alexandria via LeMat-Bulk).

CIF file:
```
data_RbAg2HgBr6
_chemical_formula_sum 'Rb2 Ag4 Hg2 Br12'
_cell_length_a 9.040
_cell_length_b 10.114
_cell_length_c 10.114
_cell_angle_alpha 81.04
_cell_angle_beta 68.29
_cell_angle_gamma 68.29
_symmetry_space_group_name_H-M 'P 1'
_symmetry_Int_Tables_number 1
_symmetry_space_group_name_Hall 'P 1'
loop_
_atom_site_label
_atom_site_type_symbol
_atom_site_fract_x
_atom_site_fract_y
_atom_site_fract_z
Rb1 Rb 0.250 0.832 0.168
Rb2 Rb 0.750 0.168 0.832
Ag1 Ag 0.377 0.737 0.650
Ag2 Ag 0.123 0.350 0.263
Ag3 Ag 0.623 0.263 0.350
Ag4 Ag 0.877 0.650 0.737
Hg1 Hg 0.250 0.187 0.813
Hg2 Hg 0.750 0.813 0.187
Br1 Br 0.167 0.936 0.834
Br2 Br 0.333 0.166 0.064
Br3 Br 0.833 0.064 0.166
Br4 Br 0.667 0.834 0.936
Br5 Br 0.455 0.884 0.379
Br6 Br 0.045 0.621 0.116
Br7 Br 0.545 0.116 0.621
Br8 Br 0.955 0.379 0.884
Br9 Br 0.167 0.668 0.570
Br10 Br 0.333 0.430 0.332
Br11 Br 0.833 0.332 0.430
Br12 Br 0.667 0.570 0.668
```

Computed properties:
Formation energy without anion corrections (eV per atom): -0.58



Record 2
# Rb3Ag2HgBr8

A relaxed structure of Rb3Ag2HgBr8 (PBE, Alexandria via LeMat-Bulk).

CIF file:
```
data_Rb3Ag2HgBr8
_chemical_formula_sum 'Rb3 Ag2 Hg1 Br8'
_cell_length_a 7.757
_cell_length_b 7.757
_cell_length_c 10.158
_cell_angle_alpha 90.00
_cell_angle_beta 90.00
_cell_angle_gamma 120.00
_symmetry_space_group_name_H-M 'P 1'
_symmetry_Int_Tables_number 1
_symmetry_space_group_name_Hall 'P 1'
loop_
_atom_site_label
_atom_site_type_symbol
_atom_site_fract_x
_atom_site_fract_y
_atom_site_fract_z
Rb1 Rb 0.333 0.667 0.610
Rb2 Rb 0.667 0.333 0.390
Rb3 Rb 0.000 0.000 0.000
Ag1 Ag 0.333 0.667 0.185
Ag2 Ag 0.667 0.333 0.815
Hg1 Hg 0.000 0.000 0.500
Br1 Br 0.333 0.667 0.937
Br2 Br 0.667 0.333 0.063
Br3 Br 0.165 0.835 0.329
Br4 Br 0.835 0.165 0.671
Br5 Br 0.165 0.330 0.329
Br6 Br 0.835 0.670 0.671
Br7 Br 0.670 0.835 0.329
Br8 Br 0.330 0.165 0.671
```

Computed properties:
Formation energy without anion corrections (eV per atom): -0.89



Record 3
# Rb3Ag2HgBr9

A relaxed structure of Rb3Ag2HgBr9 (PBE, Alexandria via LeMat-Bulk).

CIF file:
```
data_Rb3Ag2HgBr9
_chemical_formula_sum 'Rb3 Ag2 Hg1 Br9'
_cell_length_a 7.778
_cell_length_b 7.778
_cell_length_c 9.544
_cell_angle_alpha 90.00
_cell_angle_beta 90.00
_cell_angle_gamma 120.00
_symmetry_space_group_name_H-M 'P 1'
_symmetry_Int_Tables_number 1
_symmetry_space_group_name_Hall 'P 1'
loop_
_atom_site_label
_atom_site_type_symbol
_atom_site_fract_x
_atom_site_fract_y
_atom_site_fract_z
Rb1 Rb 0.333 0.667 0.668
Rb2 Rb 0.000 0.000 0.000
Rb3 Rb 0.667 0.333 0.332
Ag1 Ag 0.333 0.667 0.161
Ag2 Ag 0.667 0.333 0.839
Hg1 Hg 0.000 0.000 0.500
Br1 Br 0.831 0.169 0.671
Br2 Br 0.831 0.663 0.671
Br3 Br 0.337 0.169 0.671
Br4 Br 0.663 0.831 0.329
Br5 Br 0.169 0.337 0.329
Br6 Br 0.169 0.831 0.329
Br7 Br 0.500 0.000 0.000
Br8 Br 0.000 0.500 0.000
Br9 Br 0.500 0.500 0.000
```

Computed properties:
Formation energy without anion corrections (eV per atom): -0.88



Record 4
# ReAgHgBr6

A relaxed structure of ReAgHgBr6 (PBE, Alexandria via LeMat-Bulk).

CIF file:
```
data_ReAgHgBr6
_chemical_formula_sum 'Re2 Ag2 Hg2 Br12'
_cell_length_a 7.132
_cell_length_b 7.132
_cell_length_c 12.807
_cell_angle_alpha 90.00
_cell_angle_beta 90.00
_cell_angle_gamma 120.00
_symmetry_space_group_name_H-M 'P 1'
_symmetry_Int_Tables_number 1
_symmetry_space_group_name_Hall 'P 1'
loop_
_atom_site_label
_atom_site_type_symbol
_atom_site_fract_x
_atom_site_fract_y
_atom_site_fract_z
Re1 Re 0.667 0.333 0.250
Re2 Re 0.333 0.667 0.750
Ag1 Ag 0.333 0.667 0.250
Ag2 Ag 0.667 0.333 0.750
Hg1 Hg 0.000 0.000 0.000
Hg2 Hg 0.000 0.000 0.500
Br1 Br 0.648 0.612 0.135
Br2 Br 0.964 0.352 0.135
Br3 Br 0.352 0.964 0.635
Br4 Br 0.036 0.648 0.865
Br5 Br 0.388 0.352 0.365
Br6 Br 0.964 0.612 0.365
Br7 Br 0.612 0.964 0.865
Br8 Br 0.648 0.036 0.365
Br9 Br 0.036 0.388 0.635
Br10 Br 0.388 0.036 0.135
Br11 Br 0.612 0.648 0.635
Br12 Br 0.352 0.388 0.865
```

Computed properties:
Formation energy without anion corrections (eV per atom): -0.24



Record 5
# Ag3Hg2S2Br3

A relaxed structure of Ag3Hg2S2Br3 (PBE, Alexandria via LeMat-Bulk).

CIF file:
```
data_Ag3Hg2S2Br3
_chemical_formula_sum 'Ag3 Hg2 S2 Br3'
_cell_length_a 4.397
_cell_length_b 4.397
_cell_length_c 13.890
_cell_angle_alpha 99.11
_cell_angle_beta 99.11
_cell_angle_gamma 90.00
_symmetry_space_group_name_H-M 'P 1'
_symmetry_Int_Tables_number 1
_symmetry_space_group_name_Hall 'P 1'
loop_
_atom_site_label
_atom_site_type_symbol
_atom_site_fract_x
_atom_site_fract_y
_atom_site_fract_z
Ag1 Ag 0.900 0.900 0.800
Ag2 Ag 0.500 0.500 0.000
Ag3 Ag 0.100 0.100 0.200
Hg1 Hg 0.750 0.250 0.500
Hg2 Hg 0.250 0.750 0.500
S1 S 0.807 0.807 0.615
S2 S 0.193 0.193 0.385
Br1 Br 0.600 0.600 0.200
Br2 Br 0.400 0.400 0.800
Br3 Br 0.000 0.000 0.000
```

Computed properties:
Formation energy without anion corrections (eV per atom): -0.13



Record 6
# AgHgSBr

A relaxed structure of AgHgSBr (PBE, Alexandria via LeMat-Bulk).

CIF file:
```
data_AgHgSBr
_chemical_formula_sum 'Ag4 Hg4 S4 Br4'
_cell_length_a 4.636
_cell_length_b 9.793
_cell_length_c 9.974
_cell_angle_alpha 90.00
_cell_angle_beta 90.00
_cell_angle_gamma 90.00
_symmetry_space_group_name_H-M 'P 1'
_symmetry_Int_Tables_number 1
_symmetry_space_group_name_Hall 'P 1'
loop_
_atom_site_label
_atom_site_type_symbol
_atom_site_fract_x
_atom_site_fract_y
_atom_site_fract_z
Ag1 Ag 0.000 0.209 0.412
Ag2 Ag 0.000 0.791 0.588
Ag3 Ag 0.000 0.209 0.088
Ag4 Ag 0.000 0.791 0.912
Hg1 Hg 0.500 0.229 0.750
Hg2 Hg 0.500 0.771 0.250
Hg3 Hg 0.500 0.500 0.000
Hg4 Hg 0.500 0.500 0.500
S1 S 0.500 0.254 0.991
S2 S 0.500 0.746 0.009
S3 S 0.500 0.746 0.491
S4 S 0.500 0.254 0.509
Br1 Br 0.000 0.014 0.750
Br2 Br 0.000 0.536 0.750
Br3 Br 0.000 0.464 0.250
Br4 Br 0.000 0.986 0.250
```

Computed properties:
Formation energy without anion corrections (eV per atom): -0.28
E above lowest polymorph (eV/atom): 0.000



Record 7
# AgHgSBr

A relaxed structure of AgHgSBr (PBE, Alexandria via LeMat-Bulk).

CIF file:
```
data_AgHgSBr
_chemical_formula_sum 'Ag1 Hg1 S1 Br1'
_cell_length_a 4.293
_cell_length_b 4.308
_cell_length_c 8.062
_cell_angle_alpha 74.30
_cell_angle_beta 74.56
_cell_angle_gamma 60.11
_symmetry_space_group_name_H-M 'P 1'
_symmetry_Int_Tables_number 1
_symmetry_space_group_name_Hall 'P 1'
loop_
_atom_site_label
_atom_site_type_symbol
_atom_site_fract_x
_atom_site_fract_y
_atom_site_fract_z
Ag1 Ag 0.290 0.510 0.911
Hg1 Hg 0.743 0.942 0.572
S1 S 0.629 0.853 0.890
Br1 Br 0.468 0.684 0.380
```

Computed properties:
Formation energy without anion corrections (eV per atom): -0.14
E above lowest polymorph (eV/atom): 0.132



Record 8
# Ag4HgSBr2

A relaxed structure of Ag4HgSBr2 (PBE, Alexandria via LeMat-Bulk).

CIF file:
```
data_Ag4HgSBr2
_chemical_formula_sum 'Ag8 Hg2 S2 Br4'
_cell_length_a 8.054
_cell_length_b 8.054
_cell_length_c 8.135
_cell_angle_alpha 120.30
_cell_angle_beta 120.30
_cell_angle_gamma 87.15
_symmetry_space_group_name_H-M 'P 1'
_symmetry_Int_Tables_number 1
_symmetry_space_group_name_Hall 'P 1'
loop_
_atom_site_label
_atom_site_type_symbol
_atom_site_fract_x
_atom_site_fract_y
_atom_site_fract_z
Ag1 Ag 0.239 0.766 0.002
Ag2 Ag 0.734 0.261 0.498
Ag3 Ag 0.266 0.739 0.502
Ag4 Ag 0.761 0.234 0.998
Ag5 Ag 0.748 0.751 0.949
Ag6 Ag 0.749 0.752 0.551
Ag7 Ag 0.251 0.248 0.449
Ag8 Ag 0.252 0.249 0.051
Hg1 Hg 0.000 0.500 0.000
Hg2 Hg 0.000 0.500 0.500
S1 S 0.500 0.500 0.500
S2 S 0.000 0.000 0.000
Br1 Br 0.500 0.000 0.000
Br2 Br 0.500 0.000 0.500
Br3 Br 0.000 0.000 0.500
Br4 Br 0.500 0.500 0.000
```

Computed properties:
Formation energy without anion corrections (eV per atom): -0.09



Record 9
# AgHgSeBr2

A relaxed structure of AgHgSeBr2 (PBE, Alexandria via LeMat-Bulk).

CIF file:
```
data_AgHgSeBr2
_chemical_formula_sum 'Ag1 Hg1 Se1 Br2'
_cell_length_a 5.185
_cell_length_b 5.185
_cell_length_c 5.426
_cell_angle_alpha 90.00
_cell_angle_beta 90.00
_cell_angle_gamma 90.00
_symmetry_space_group_name_H-M 'P 1'
_symmetry_Int_Tables_number 1
_symmetry_space_group_name_Hall 'P 1'
loop_
_atom_site_label
_atom_site_type_symbol
_atom_site_fract_x
_atom_site_fract_y
_atom_site_fract_z
Br1 Br 0.000 0.500 0.000
Br2 Br 0.500 0.000 0.000
Se1 Se 0.000 0.000 0.500
Hg1 Hg 0.500 0.500 0.500
Ag1 Ag 0.000 0.000 0.000
```

Computed properties:
Formation energy without anion corrections (eV per atom): 0.21
E above lowest polymorph (eV/atom): 0.000



Record 10
# AgHgSe2Br

A relaxed structure of AgHgSe2Br (PBE, Alexandria via LeMat-Bulk).

CIF file:
```
data_AgHgSe2Br
_chemical_formula_sum 'Ag1 Hg1 Se2 Br1'
_cell_length_a 5.178
_cell_length_b 5.178
_cell_length_c 5.212
_cell_angle_alpha 90.00
_cell_angle_beta 90.00
_cell_angle_gamma 90.00
_symmetry_space_group_name_H-M 'P 1'
_symmetry_Int_Tables_number 1
_symmetry_space_group_name_Hall 'P 1'
loop_
_atom_site_label
_atom_site_type_symbol
_atom_site_fract_x
_atom_site_fract_y
_atom_site_fract_z
Br1 Br 0.000 0.000 0.500
Se1 Se 0.000 0.500 0.000
Se2 Se 0.500 0.000 0.000
Hg1 Hg 0.500 0.500 0.500
Ag1 Ag 0.000 0.000 0.000
```

Computed properties:
Formation energy without anion corrections (eV per atom): 0.43
E above lowest polymorph (eV/atom): 0.000